# ScFeW2

ScFeW2 at its PBEsol-relaxed geometry (SCAN, Alexandria).

Energy relative to the elements (eV/atom): 0.302
Energy above the most stable polymorph in this dataset (meV/atom): 88.2

The structure in CIF format:
```
data_ScFeW2
_cell_length_a 5.0644
_cell_length_b 5.0644
_cell_length_c 5.0644
_cell_angle_alpha 143.88
_cell_angle_beta 126.46
_cell_angle_gamma 66.29
_symmetry_space_group_name_H-M 'P 1'
_symmetry_Int_Tables_number 1
_symmetry_space_group_name_Hall 'P 1'
loop_
_atom_site_label
_atom_site_fract_x
_atom_site_fract_y
_atom_site_fract_z
Sc1 0.0000 0.0000 0.0000
Fe1 0.7483 0.2483 0.5000
W1 0.2728 0.7728 0.5000
W2 0.5190 0.5190 0.0000
```